Entry 1:
VASP calculation (PBE-GGA) on an optimized crystal structure of Zn5SO4.

Cell lengths 5.434, 5.434, 7.778 Å; angles 118.02, 118.02, 33.85 degrees
Element x y z (fractional)
Zn: 0.000 0.000 0.000
Zn: 0.206 0.206 0.818
Zn: 0.391 0.391 0.625
Zn: 0.609 0.609 0.375
Zn: 0.794 0.794 0.182
S: 0.000 0.000 0.500
O: 0.190 0.190 0.285
O: 0.395 0.395 0.085
O: 0.605 0.605 0.915
O: 0.810 0.810 0.715

## Properties
- Symmetry: C2/m, No. 12
- DFT total energy: -4.085 eV per atom

Entry 2:
VASP calculation (PBE-GGA) on an optimized crystal structure of Zn2SO5.

Cell lengths 5.637, 5.637, 7.483 Å; angles 113.84, 113.84, 67.22 degrees
Element x y z (fractional)
Zn: 0.000 0.500 0.000
Zn: 0.068 0.068 0.225
Zn: 0.500 0.000 0.000
Zn: 0.932 0.932 0.775
S: 0.393 0.393 0.678
S: 0.607 0.607 0.322
O: 0.153 0.153 0.028
O: 0.289 0.289 0.456
O: 0.297 0.297 0.787
O: 0.306 0.692 0.264
O: 0.308 0.694 0.736
O: 0.692 0.306 0.264
O: 0.694 0.308 0.736
O: 0.703 0.703 0.213
O: 0.711 0.711 0.544
O: 0.847 0.847 0.972

## Properties
- Symmetry: C2/m, No. 12
- DFT total energy: -5.310 eV per atom

Entry 3:
VASP calculation (PBE-GGA) on an optimized crystal structure of Zr3SO9.

Cell lengths 6.331, 6.331, 9.255 Å; angles 90.00, 90.00, 120.00 degrees
Element x y z (fractional)
Zr: 0.031 0.333 0.343
Zr: 0.302 0.969 0.343
Zr: 0.333 0.302 0.657
Zr: 0.667 0.698 0.343
Zr: 0.698 0.031 0.657
Zr: 0.969 0.667 0.657
S: 0.333 0.667 0.870
S: 0.667 0.333 0.130
O: 0.000 0.000 0.270
O: 0.000 0.000 0.730
O: 0.001 0.335 0.575
O: 0.120 0.692 0.902
O: 0.308 0.428 0.902
O: 0.333 0.667 0.264
O: 0.333 0.667 0.701
O: 0.333 0.999 0.575
O: 0.335 0.333 0.425
O: 0.428 0.120 0.098
O: 0.572 0.880 0.902
O: 0.665 0.667 0.575
O: 0.667 0.001 0.425
O: 0.667 0.333 0.299
O: 0.667 0.333 0.736
O: 0.692 0.572 0.098
O: 0.880 0.308 0.098
O: 0.999 0.665 0.425

## Properties
- Symmetry: P-3, No. 147
- DFT total energy: -8.281 eV per atom
- Total moment: 0.00 μB per cell